Below is Ti2SbP after structural relaxation, with properties calculated at the PBE-GGA level.

SG: R3m (160)
Total magnetic moment in μB per atom: 0.00
Raw formation energy in eV per atom: -0.855
Polymorph energy (0 for the lowest one) in meV per atom: 54.2
Electronic total energy in eV per cell: -86.23

a b c (Å): 3.6126 3.6126 19.2813
angles (deg): 90.00 90.00 120.00
With the nearest neighbours (Å) after each atom.
Element x y z (fractional)
1 Ti 0.0000 0.0000 0.0000  3 P 2.46
2 Ti 0.0000 0.0000 0.2001  3 P 2.44
3 Ti 0.3333 0.6667 0.6667  3 P 2.46
4 Ti 0.3333 0.6667 0.8668  3 P 2.44
5 Ti 0.6667 0.3333 0.3333  3 P 2.46
6 Ti 0.6667 0.3333 0.5334  3 P 2.44
7 Sb 0.0000 0.0000 0.7675  6 Ti 2.83-2.85
8 Sb 0.3333 0.6667 0.4342  6 Ti 2.83-2.85
9 Sb 0.6667 0.3333 0.1008  6 Ti 2.83-2.85
10 P 0.0000 0.0000 0.5990  6 Ti 2.44-2.46
11 P 0.3333 0.6667 0.2656  6 Ti 2.44-2.46
12 P 0.6667 0.3333 0.9323  6 Ti 2.44-2.46

=====

Below is Ti3SbP after structural relaxation, with properties calculated at the PBE-GGA level.

SG: C2/m (12)
Total magnetic moment in μB per atom: 0.00
Raw formation energy in eV per atom: -0.492
Polymorph energy (0 for the lowest one) in meV per atom: 126.5
Electronic total energy in eV per cell: -71.35

a b c (Å): 7.1327 7.1327 6.4326
angles (deg): 94.87 94.87 36.57
With the nearest neighbours (Å) after each atom.
Element x y z (fractional)
1 Ti 0.0224 0.0224 0.2531  2 P 2.44-2.45
2 Ti 0.1837 0.1837 0.9437  1 P 2.41
3 Ti 0.2723 0.2723 0.3528  3 P 2.48-2.60
4 Ti 0.7277 0.7277 0.6472  3 P 2.48-2.60
5 Ti 0.8163 0.8163 0.0563  1 P 2.41
6 Ti 0.9776 0.9776 0.7469  2 P 2.44-2.45
7 Sb 0.3820 0.3820 0.8712  5 Ti 2.72-2.77
8 Sb 0.6180 0.6180 0.1288  5 Ti 2.72-2.77
9 P 0.1323 0.1323 0.5757  6 Ti 2.41-2.60
10 P 0.8677 0.8677 0.4243  6 Ti 2.41-2.60

=====

Below is Ti4Sb2P after structural relaxation, with properties calculated at the PBE-GGA level.

SG: Pbam (55)
Total magnetic moment in μB per atom: 0.00
Raw formation energy in eV per atom: -0.673
Electronic total energy in eV per cell: -99.89

a b c (Å): 7.1950 10.3321 3.5962
angles (deg): 90.00 90.00 90.00
With the nearest neighbours (Å) after each atom.
Element x y z (fractional)
1 Ti 0.1373 0.2080 0.0000  1 P 2.37
2 Ti 0.1944 0.9228 0.5000  2 P 2.41
3 Ti 0.3056 0.4228 0.5000  2 P 2.41
4 Ti 0.3627 0.7080 0.0000  1 P 2.37
5 Ti 0.6373 0.2920 0.0000  1 P 2.37
6 Ti 0.6944 0.5772 0.5000  2 P 2.41
7 Ti 0.8056 0.0772 0.5000  2 P 2.41
8 Ti 0.8627 0.7920 0.0000  1 P 2.37
9 Sb 0.0765 0.6513 0.5000  7 Ti 2.78-2.93
10 Sb 0.4235 0.1513 0.5000  7 Ti 2.78-2.93
11 Sb 0.5765 0.8487 0.5000  7 Ti 2.78-2.93
12 Sb 0.9235 0.3487 0.5000  7 Ti 2.78-2.93
13 P 0.0000 0.0000 0.0000  6 Ti 2.37-2.41
14 P 0.5000 0.5000 0.0000  6 Ti 2.37-2.41

=====

Below is Ti4SbP after structural relaxation, with properties calculated at the PBE-GGA level.

SG: P2_1/c (14)
Total magnetic moment in μB per atom: 0.13
Raw formation energy in eV per atom: -0.386
Electronic total energy in eV per cell: -86.86

a b c (Å): 5.8939 7.2655 5.3226
angles (deg): 90.00 90.30 90.00
With the nearest neighbours (Å) after each atom.
Element x y z (fractional)
1 Ti 0.1424 0.1372 0.0008  1 P 2.33, 1 Ti 2.61
2 Ti 0.1424 0.3628 0.5008  1 P 2.33, 1 Ti 2.61
3 Ti 0.3164 0.7486 0.7513  2 P 2.50, 2 Ti 2.66
4 Ti 0.3164 0.7514 0.2513  2 P 2.50, 2 Ti 2.66
5 Ti 0.6836 0.2486 0.7487  2 P 2.50, 2 Ti 2.66
6 Ti 0.6836 0.2514 0.2487  2 P 2.50, 2 Ti 2.66
7 Ti 0.8576 0.6372 0.4992  1 P 2.33, 1 Ti 2.61
8 Ti 0.8576 0.8628 0.9992  1 P 2.33, 1 Ti 2.61
9 Sb 0.0000 0.0000 0.5000  10 Ti 2.77-2.96
10 Sb 0.0000 0.5000 0.0000  10 Ti 2.77-2.96
11 P 0.5000 0.0000 0.0000  6 Ti 2.33-2.50
12 P 0.5000 0.5000 0.5000  6 Ti 2.33-2.50

=====

Below is TlSb2P after structural relaxation, with properties calculated at the PBE-GGA level.

SG: R-3m (166)
Total magnetic moment in μB per atom: 0.00
Raw formation energy in eV per atom: 0.134
Polymorph energy (0 for the lowest one) in meV per atom: 0.0
Electronic total energy in eV per cell: -46.46

a b c (Å): 3.6871 3.6871 27.7309
angles (deg): 90.00 90.00 120.00
With the nearest neighbours (Å) after each atom.
Element x y z (fractional)
1 Tl 0.0000 0.0000 0.0000  6 Sb 3.60, 6 Tl 3.69
2 Tl 0.3333 0.6667 0.6667  6 Sb 3.60, 6 Tl 3.69
3 Tl 0.6667 0.3333 0.3333  6 Sb 3.60, 6 Tl 3.69
4 Sb 0.0000 0.0000 0.2286  3 P 2.74
5 Sb 0.0000 0.0000 0.7714  3 P 2.74
6 Sb 0.3333 0.6667 0.4380  3 P 2.74
7 Sb 0.3333 0.6667 0.8953  3 P 2.74
8 Sb 0.6667 0.3333 0.1047  3 P 2.74
9 Sb 0.6667 0.3333 0.5620  3 P 2.74
10 P 0.0000 0.0000 0.5000  6 Sb 2.74
11 P 0.3333 0.6667 0.1667  6 Sb 2.74
12 P 0.6667 0.3333 0.8333  6 Sb 2.74

=====

Below is TlSb2P after structural relaxation, with properties calculated at the PBE-GGA level.

SG: Cmmm (65)
Total magnetic moment in μB per atom: 0.00
Raw formation energy in eV per atom: 0.434
Polymorph energy (0 for the lowest one) in meV per atom: 300.2
Electronic total energy in eV per cell: -28.57

a b c (Å): 7.2214 7.2285 3.8130
angles (deg): 90.00 90.00 90.00
With the nearest neighbours (Å) after each atom.
Element x y z (fractional)
1 Tl 0.0000 0.0000 0.0000  8 Sb 3.19
2 Tl 0.5000 0.5000 0.0000  8 Sb 3.19
3 Sb 0.2500 0.2500 0.5000  4 Tl 3.19, 4 P 3.19
4 Sb 0.2500 0.7500 0.5000  4 Tl 3.19, 4 P 3.19
5 Sb 0.7500 0.2500 0.5000  4 Tl 3.19, 4 P 3.19
6 Sb 0.7500 0.7500 0.5000  4 Tl 3.19, 4 P 3.19
7 P 0.0000 0.5000 0.0000  8 Sb 3.19
8 P 0.5000 0.0000 0.0000  8 Sb 3.19

=====

Below is TlSbP2 after structural relaxation, with properties calculated at the PBE-GGA level.

SG: Fm-3m (225)
Total magnetic moment in μB per atom: 0.00
Raw formation energy in eV per atom: 0.546
Polymorph energy (0 for the lowest one) in meV per atom: 399.9
Electronic total energy in eV per cell: -60.50

a b c (Å): 7.0039 7.0039 7.0039
angles (deg): 90.00 90.00 90.00
With the nearest neighbours (Å) after each atom.
Element x y z (fractional)
1 Tl 0.0000 0.0000 0.0000  8 P 3.03
2 Tl 0.0000 0.5000 0.5000  8 P 3.03
3 Tl 0.5000 0.0000 0.5000  8 P 3.03
4 Tl 0.5000 0.5000 0.0000  8 P 3.03
5 Sb 0.0000 0.0000 0.5000  8 P 3.03
6 Sb 0.0000 0.5000 0.0000  8 P 3.03
7 Sb 0.5000 0.0000 0.0000  8 P 3.03
8 Sb 0.5000 0.5000 0.5000  8 P 3.03
9 P 0.2500 0.2500 0.2500  4 Sb 3.03, 4 Tl 3.03
10 P 0.2500 0.2500 0.7500  4 Tl 3.03, 4 Sb 3.03
11 P 0.2500 0.7500 0.2500  4 Tl 3.03, 4 Sb 3.03
12 P 0.2500 0.7500 0.7500  4 Tl 3.03, 4 Sb 3.03
13 P 0.7500 0.2500 0.2500  4 Tl 3.03, 4 Sb 3.03
14 P 0.7500 0.2500 0.7500  4 Tl 3.03, 4 Sb 3.03
15 P 0.7500 0.7500 0.2500  4 Tl 3.03, 4 Sb 3.03
16 P 0.7500 0.7500 0.7500  4 Tl 3.03, 4 Sb 3.03

=====

Below is TlSb2P after structural relaxation, with properties calculated at the PBE-GGA level.

SG: R3m (160)
Total magnetic moment in μB per atom: 0.00
Raw formation energy in eV per atom: 0.170
Polymorph energy (0 for the lowest one) in meV per atom: 36.2
Electronic total energy in eV per cell: -46.02

a b c (Å): 3.8267 3.8267 26.3329
angles (deg): 90.00 90.00 120.00
With the nearest neighbours (Å) after each atom.
Element x y z (fractional)
1 Tl 0.0000 0.0000 0.0000  3 P 3.25, 3 Sb 3.36
2 Tl 0.3333 0.6667 0.6667  3 P 3.25, 3 Sb 3.36
3 Tl 0.6667 0.3333 0.3333  3 P 3.25, 3 Sb 3.36
4 Sb 0.0000 0.0000 0.5215  3 P 2.64
5 Sb 0.0000 0.0000 0.7627  3 Sb 3.28, 3 Tl 3.36
6 Sb 0.3333 0.6667 0.1881  3 P 2.64
7 Sb 0.3333 0.6667 0.4293  3 Sb 3.28, 3 Tl 3.36
8 Sb 0.6667 0.3333 0.0960  3 Sb 3.28, 3 Tl 3.36
9 Sb 0.6667 0.3333 0.8548  3 P 2.64
10 P 0.0000 0.0000 0.2430  3 Sb 2.64
11 P 0.3333 0.6667 0.9097  3 Sb 2.64
12 P 0.6667 0.3333 0.5763  3 Sb 2.64

=====

Below is TlSbP2 after structural relaxation, with properties calculated at the PBE-GGA level.

SG: R-3m (166)
Total magnetic moment in μB per atom: 0.00
Raw formation energy in eV per atom: 0.210
Polymorph energy (0 for the lowest one) in meV per atom: 63.6
Electronic total energy in eV per cell: -49.41

a b c (Å): 3.9688 3.9688 20.1015
angles (deg): 90.00 90.00 120.00
With the nearest neighbours (Å) after each atom.
Element x y z (fractional)
1 Tl 0.0000 0.0000 0.0000  6 P 2.93
2 Tl 0.3333 0.6667 0.6667  6 P 2.93
3 Tl 0.6667 0.3333 0.3333  6 P 2.93
4 Sb 0.0000 0.0000 0.5000  6 P 2.75
5 Sb 0.3333 0.6667 0.1667  6 P 2.75
6 Sb 0.6667 0.3333 0.8333  6 P 2.75
7 P 0.0000 0.0000 0.2427  3 Sb 2.75, 3 Tl 2.93
8 P 0.0000 0.0000 0.7573  3 Sb 2.75, 3 Tl 2.93
9 P 0.3333 0.6667 0.4240  3 Sb 2.75, 3 Tl 2.93
10 P 0.3333 0.6667 0.9093  3 Sb 2.75, 3 Tl 2.93
11 P 0.6667 0.3333 0.0907  3 Sb 2.75, 3 Tl 2.93
12 P 0.6667 0.3333 0.5760  3 Sb 2.75, 3 Tl 2.93

=====

Below is TlSbP2 after structural relaxation, with properties calculated at the PBE-GGA level.

SG: R3m (160)
Total magnetic moment in μB per atom: 0.00
Raw formation energy in eV per atom: 0.146
Polymorph energy (0 for the lowest one) in meV per atom: 0.0
Electronic total energy in eV per cell: -50.17

a b c (Å): 3.3531 3.3531 33.6509
angles (deg): 90.00 90.00 120.00
With the nearest neighbours (Å) after each atom.
Element x y z (fractional)
1 Tl 0.0000 0.0000 0.0000  6 Tl 3.35, 3 Sb 3.38
2 Tl 0.3333 0.6667 0.6667  6 Tl 3.35, 3 Sb 3.38
3 Tl 0.6667 0.3333 0.3333  6 Tl 3.35, 3 Sb 3.38
4 Sb 0.0000 0.0000 0.7489  6 Sb 3.35, 3 Tl 3.38
5 Sb 0.3333 0.6667 0.4155  6 Sb 3.35, 3 Tl 3.38
6 Sb 0.6667 0.3333 0.0822  6 Sb 3.35, 3 Tl 3.38
7 P 0.0000 0.0000 0.2231  3 P 2.29
8 P 0.0000 0.0000 0.5203  3 P 2.29
9 P 0.3333 0.6667 0.1869  3 P 2.29
10 P 0.3333 0.6667 0.8897  3 P 2.29
11 P 0.6667 0.3333 0.5564  3 P 2.29
12 P 0.6667 0.3333 0.8536  3 P 2.29

=====

Below is TlSbP2 after structural relaxation, with properties calculated at the PBE-GGA level.

SG: Cmm2 (35)
Total magnetic moment in μB per atom: 0.00
Raw formation energy in eV per atom: 0.256
Polymorph energy (0 for the lowest one) in meV per atom: 109.6
Electronic total energy in eV per cell: -32.57

a b c (Å): 4.3742 4.5772 9.2910
angles (deg): 90.00 90.00 90.00
With the nearest neighbours (Å) after each atom.
Element x y z (fractional)
1 Tl 0.0000 0.0000 0.0000  4 Tl 3.17
2 Tl 0.5000 0.5000 0.0000  4 Tl 3.17
3 Sb 0.0000 0.5000 0.3016  4 Sb 3.17
4 Sb 0.5000 0.0000 0.3016  4 Sb 3.17
5 P 0.0000 0.0000 0.6023  4 P 2.33-2.42
6 P 0.0000 0.5000 0.6877  4 P 2.33-2.42
7 P 0.5000 0.0000 0.6877  4 P 2.33-2.42
8 P 0.5000 0.5000 0.6023  4 P 2.33-2.42

=====

Below is TlSbP2 after structural relaxation, with properties calculated at the PBE-GGA level.

SG: Cm (8)
Total magnetic moment in μB per atom: 0.00
Raw formation energy in eV per atom: 0.228
Polymorph energy (0 for the lowest one) in meV per atom: 81.6
Electronic total energy in eV per cell: -32.79

a b c (Å): 10.1008 3.3659 6.4079
angles (deg): 90.00 113.03 90.00
With the nearest neighbours (Å) after each atom.
Element x y z (fractional)
1 Tl 0.0000 0.0000 0.0000  4 P 3.21-3.28, 2 Tl 3.37, 2 Sb 3.55-3.58
2 Tl 0.5000 0.5000 0.0000  4 P 3.21-3.28, 2 Tl 3.37, 2 Sb 3.55-3.58
3 Sb 0.3316 0.5000 0.3942  4 P 2.78-2.79
4 Sb 0.8316 0.0000 0.3942  4 P 2.78-2.79
5 P 0.0642 0.5000 0.6239  2 P 2.33
6 P 0.2280 0.0000 0.6408  2 P 2.33
7 P 0.5642 0.0000 0.6239  2 P 2.33
8 P 0.7280 0.5000 0.6408  2 P 2.33